Arrangement i

The following is a DFT calculation (PBE) of a geometry-optimized LiPPdO structure.

Cell and atoms, written as CIF:
```
data_LiPPdO
_chemical_formula_sum 'Li2 P2 Pd2 O2'
_space_group_name_H-M_alt 'P 4/n m m'
_space_group_IT_number 129
_cell_length_a 3.8634
_cell_length_b 3.8634
_cell_length_c 6.3782
_cell_angle_alpha 90.00
_cell_angle_beta 90.00
_cell_angle_gamma 90.00
loop_
_space_group_symop_operation_xyz
'x,y,z'
'-x,-y,-z'
'-y+1/2,x,z'
'y+1/2,-x,-z'
'-x+1/2,-y+1/2,z'
'x+1/2,y+1/2,-z'
'y,-x+1/2,z'
'-y,x+1/2,-z'
'x+1/2,-y,-z'
'-x+1/2,y,z'
'-y,-x,-z'
'y,x,z'
'-x,y+1/2,-z'
'x,-y+1/2,z'
'y+1/2,x+1/2,-z'
'-y+1/2,-x+1/2,z'
loop_
_atom_site_label
_atom_site_type_symbol
_atom_site_fract_x
_atom_site_fract_y
_atom_site_fract_z
_atom_site_occupancy
Li1 Li 0.2500 0.2500 0.1117 1
P1 P 0.2500 0.2500 0.7403 1
Pd1 Pd 0.2500 0.7500 0.5000 1
O1 O 0.2500 0.7500 0.0000 1
```

---

Arrangement ii

The following is a DFT calculation (PBE) of a geometry-optimized LiPPdO structure.

Cell and atoms, written as CIF:
```
data_LiPPdO
_chemical_formula_sum 'Li2 P2 Pd2 O2'
_space_group_name_H-M_alt 'P 4/n m m'
_space_group_IT_number 129
_cell_length_a 3.5339
_cell_length_b 3.5339
_cell_length_c 7.9597
_cell_angle_alpha 90.00
_cell_angle_beta 90.00
_cell_angle_gamma 90.00
loop_
_space_group_symop_operation_xyz
'x,y,z'
'-x,-y,-z'
'-y+1/2,x,z'
'y+1/2,-x,-z'
'-x+1/2,-y+1/2,z'
'x+1/2,y+1/2,-z'
'y,-x+1/2,z'
'-y,x+1/2,-z'
'x+1/2,-y,-z'
'-x+1/2,y,z'
'-y,-x,-z'
'y,x,z'
'-x,y+1/2,-z'
'x,-y+1/2,z'
'y+1/2,x+1/2,-z'
'-y+1/2,-x+1/2,z'
loop_
_atom_site_label
_atom_site_type_symbol
_atom_site_fract_x
_atom_site_fract_y
_atom_site_fract_z
_atom_site_occupancy
Li1 Li 0.2500 0.7500 0.0000 1
P1 P 0.2500 0.2500 0.2203 1
Pd1 Pd 0.2500 0.2500 0.6667 1
O1 O 0.2500 0.7500 0.5000 1
```

---

Arrangement iii

The following is a DFT calculation (PBE) of a geometry-optimized LiPPdO structure.

Cell and atoms, written as CIF:
```
data_LiPPdO
_chemical_formula_sum 'Li2 P2 Pd2 O2'
_space_group_name_H-M_alt 'P m c 21'
_space_group_IT_number 26
_space_group_name_Hall 'P 2c -2'
_cell_length_a 3.5510
_cell_length_b 6.5650
_cell_length_c 4.3653
_cell_angle_alpha 90.00
_cell_angle_beta 90.00
_cell_angle_gamma 90.00
loop_
_atom_site_label
_atom_site_type_symbol
_atom_site_fract_x
_atom_site_fract_y
_atom_site_fract_z
_atom_site_occupancy
Li1 Li 0.0000 0.1797 0.0000 1
P1 P 0.0000 0.4282 0.4955 1
Pd1 Pd 0.5000 0.2014 0.4981 1
O1 O 0.5000 0.1329 0.9981 1
```

---

Arrangement iv

The following is a DFT calculation (PBE) of a geometry-optimized LiPPdO structure.

Cell and atoms, written as CIF:
```
data_LiPPdO
_chemical_formula_sum 'Li2 P2 Pd2 O2'
_space_group_name_H-M_alt 'P m c 21'
_space_group_IT_number 26
_space_group_name_Hall 'P 2c -2'
_cell_length_a 3.8709
_cell_length_b 5.7679
_cell_length_c 5.2626
_cell_angle_alpha 90.00
_cell_angle_beta 90.00
_cell_angle_gamma 90.00
loop_
_atom_site_label
_atom_site_type_symbol
_atom_site_fract_x
_atom_site_fract_y
_atom_site_fract_z
_atom_site_occupancy
Li1 Li 0.0000 0.1154 0.0000 1
P1 P 0.5000 0.3431 0.8146 1
Pd1 Pd 0.5000 0.2642 0.3806 1
O1 O 0.0000 0.1768 0.3459 1
```

---

What should be chosen as the most stable of them? Choose arrangement iii.

---

Arrangement i

The following is a DFT calculation (PBE) of a geometry-optimized LiPrPO structure.

Cell and atoms, written as CIF:
```
data_LiPrPO
_chemical_formula_sum 'Li2 Pr2 P2 O2'
_space_group_name_H-M_alt 'P m m a'
_space_group_IT_number 51
_space_group_name_Hall '-P 2a 2a'
_cell_length_a 4.9162
_cell_length_b 4.0665
_cell_length_c 6.6904
_cell_angle_alpha 90.00
_cell_angle_beta 90.00
_cell_angle_gamma 90.00
loop_
_atom_site_label
_atom_site_type_symbol
_atom_site_fract_x
_atom_site_fract_y
_atom_site_fract_z
_atom_site_occupancy
Li1 Li 0.2500 0.0000 0.1888 1
Pr1 Pr 0.2500 0.5000 0.7670 1
P1 P 0.0000 0.0000 0.5000 1
O1 O 0.2500 0.5000 0.1143 1
```

---

Arrangement ii

The following is a DFT calculation (PBE) of a geometry-optimized LiPrPO structure.

Cell and atoms, written as CIF:
```
data_LiPrPO
_chemical_formula_sum 'Li2 Pr2 P2 O2'
_space_group_name_H-M_alt 'P m c 21'
_space_group_IT_number 26
_space_group_name_Hall 'P 2c -2'
_cell_length_a 3.7426
_cell_length_b 7.5549
_cell_length_c 5.8180
_cell_angle_alpha 90.00
_cell_angle_beta 90.00
_cell_angle_gamma 90.00
loop_
_atom_site_label
_atom_site_type_symbol
_atom_site_fract_x
_atom_site_fract_y
_atom_site_fract_z
_atom_site_occupancy
Li1 Li 0.0000 0.0944 0.0000 1
Pr1 Pr 0.5000 0.2835 0.3999 1
P1 P 0.5000 0.3323 0.8961 1
O1 O 0.0000 0.1261 0.3395 1
```

---

Arrangement iii

The following is a DFT calculation (PBE) of a geometry-optimized LiPrPO structure.

Cell and atoms, written as CIF:
```
data_LiPrPO
_chemical_formula_sum 'Li2 Pr2 P2 O2'
_space_group_name_H-M_alt 'P 4/n m m'
_space_group_IT_number 129
_cell_length_a 4.0013
_cell_length_b 4.0013
_cell_length_c 8.9626
_cell_angle_alpha 90.00
_cell_angle_beta 90.00
_cell_angle_gamma 90.00
loop_
_space_group_symop_operation_xyz
'x,y,z'
'-x,-y,-z'
'-y+1/2,x,z'
'y+1/2,-x,-z'
'-x+1/2,-y+1/2,z'
'x+1/2,y+1/2,-z'
'y,-x+1/2,z'
'-y,x+1/2,-z'
'x+1/2,-y,-z'
'-x+1/2,y,z'
'-y,-x,-z'
'y,x,z'
'-x,y+1/2,-z'
'x,-y+1/2,z'
'y+1/2,x+1/2,-z'
'-y+1/2,-x+1/2,z'
loop_
_atom_site_label
_atom_site_type_symbol
_atom_site_fract_x
_atom_site_fract_y
_atom_site_fract_z
_atom_site_occupancy
Li1 Li 0.2500 0.7500 0.0000 1
Pr1 Pr 0.2500 0.2500 0.3631 1
P1 P 0.2500 0.2500 0.8346 1
O1 O 0.2500 0.7500 0.5000 1
```

---

What should be chosen as the most stable of them? Choose arrangement iii.

---

Arrangement i

The following is a DFT calculation (PBE) of a geometry-optimized LiPPtO structure.

Cell and atoms, written as CIF:
```
data_LiPPtO
_chemical_formula_sum 'Li2 P2 Pt2 O2'
_space_group_name_H-M_alt 'P 4/n m m'
_space_group_IT_number 129
_cell_length_a 3.8635
_cell_length_b 3.8635
_cell_length_c 6.5539
_cell_angle_alpha 90.00
_cell_angle_beta 90.00
_cell_angle_gamma 90.00
loop_
_space_group_symop_operation_xyz
'x,y,z'
'-x,-y,-z'
'-y+1/2,x,z'
'y+1/2,-x,-z'
'-x+1/2,-y+1/2,z'
'x+1/2,y+1/2,-z'
'y,-x+1/2,z'
'-y,x+1/2,-z'
'x+1/2,-y,-z'
'-x+1/2,y,z'
'-y,-x,-z'
'y,x,z'
'-x,y+1/2,-z'
'x,-y+1/2,z'
'y+1/2,x+1/2,-z'
'-y+1/2,-x+1/2,z'
loop_
_atom_site_label
_atom_site_type_symbol
_atom_site_fract_x
_atom_site_fract_y
_atom_site_fract_z
_atom_site_occupancy
Li1 Li 0.2500 0.2500 0.1001 1
P1 P 0.2500 0.2500 0.7376 1
Pt1 Pt 0.2500 0.7500 0.5000 1
O1 O 0.2500 0.7500 0.0000 1
```

---

Arrangement ii

The following is a DFT calculation (PBE) of a geometry-optimized LiPPtO structure.

Cell and atoms, written as CIF:
```
data_LiPPtO
_chemical_formula_sum 'Li2 P2 Pt2 O2'
_space_group_name_H-M_alt 'P m c 21'
_space_group_IT_number 26
_space_group_name_Hall 'P 2c -2'
_cell_length_a 3.8874
_cell_length_b 5.6735
_cell_length_c 5.3833
_cell_angle_alpha 90.00
_cell_angle_beta 90.00
_cell_angle_gamma 90.00
loop_
_atom_site_label
_atom_site_type_symbol
_atom_site_fract_x
_atom_site_fract_y
_atom_site_fract_z
_atom_site_occupancy
Li1 Li 0.0000 0.1142 0.0000 1
P1 P 0.5000 0.3339 0.8072 1
Pt1 Pt 0.5000 0.2686 0.3832 1
O1 O 0.0000 0.1812 0.3397 1
```

---

What should be chosen as the most stable of them? Choose arrangement i.

---

Arrangement i

The following is a DFT calculation (PBE) of a geometry-optimized LiPPtO structure.

Cell and atoms, written as CIF:
```
data_LiPPtO
_chemical_formula_sum 'Li2 P2 Pt2 O2'
_space_group_name_H-M_alt 'P 4/n m m'
_space_group_IT_number 129
_cell_length_a 3.4931
_cell_length_b 3.4931
_cell_length_c 8.1011
_cell_angle_alpha 90.00
_cell_angle_beta 90.00
_cell_angle_gamma 90.00
loop_
_space_group_symop_operation_xyz
'x,y,z'
'-x,-y,-z'
'-y+1/2,x,z'
'y+1/2,-x,-z'
'-x+1/2,-y+1/2,z'
'x+1/2,y+1/2,-z'
'y,-x+1/2,z'
'-y,x+1/2,-z'
'x+1/2,-y,-z'
'-x+1/2,y,z'
'-y,-x,-z'
'y,x,z'
'-x,y+1/2,-z'
'x,-y+1/2,z'
'y+1/2,x+1/2,-z'
'-y+1/2,-x+1/2,z'
loop_
_atom_site_label
_atom_site_type_symbol
_atom_site_fract_x
_atom_site_fract_y
_atom_site_fract_z
_atom_site_occupancy
Li1 Li 0.2500 0.7500 0.0000 1
P1 P 0.2500 0.2500 0.2181 1
Pt1 Pt 0.2500 0.2500 0.6706 1
O1 O 0.2500 0.7500 0.5000 1
```

---

Arrangement ii

The following is a DFT calculation (PBE) of a geometry-optimized LiPPtO structure.

Cell and atoms, written as CIF:
```
data_LiPPtO
_chemical_formula_sum 'Li2 P2 Pt2 O2'
_space_group_name_H-M_alt 'P m c 21'
_space_group_IT_number 26
_space_group_name_Hall 'P 2c -2'
_cell_length_a 3.1762
_cell_length_b 6.7463
_cell_length_c 5.0807
_cell_angle_alpha 90.00
_cell_angle_beta 90.00
_cell_angle_gamma 90.00
loop_
_atom_site_label
_atom_site_type_symbol
_atom_site_fract_x
_atom_site_fract_y
_atom_site_fract_z
_atom_site_occupancy
Li1 Li 0.0000 0.1521 0.0000 1
P1 P 0.0000 0.4588 0.4479 1
Pt1 Pt 0.5000 0.2235 0.4620 1
O1 O 0.5000 0.0642 0.8329 1
```

---

What should be chosen as the most stable of them? Choose arrangement ii.